# K3Mg2Cd7

An optimized crystal structure of K3Mg2Cd7 (PBE, the Alexandria database).

D(E_F)	7.75	states/eV/f.u.
E_tot	-1.139	eV per atom
SG	R-3m
formation energy	-65	meV/atom

Cell and atoms, written as POSCAR:
```
K3Mg2Cd7
1.0
3.151 1.819 10.021
-3.151 1.819 10.021
0.000 -3.638 10.021
K Mg Cd
3 2 7
direct
0.000 0.000 0.000
0.143 0.143 0.143
0.857 0.857 0.857
0.334 0.334 0.334
0.666 0.666 0.666
0.078 0.584 0.584
0.416 0.416 0.922
0.416 0.922 0.416
0.500 0.500 0.500
0.584 0.078 0.584
0.584 0.584 0.078
0.922 0.416 0.416
```



# CePrCoNi

An optimized crystal structure of CePrCoNi (PBE, the Alexandria database).

D(E_F)	6.97	states/eV/f.u.
E_tot	-5.980	eV per atom
SG	F-43m
formation energy	-80	meV/atom

Cell and atoms, written as POSCAR:
```
CePrCoNi
1.0
0.000 3.444 3.444
3.444 0.000 3.444
3.444 3.444 0.000
Ce Pr Co Ni
1 1 1 1
direct
0.000 0.000 0.000
0.500 0.500 0.500
0.250 0.250 0.250
0.750 0.750 0.750
```



# Rb2LaSb2

An optimized crystal structure of Rb2LaSb2 (PBE, the Alexandria database).

D(E_F)	1.84	states/eV/f.u.
uncorrected formation energy	-439	meV per atom
E_tot	-3.460	eV per atom
SG	P4/mbm

Cell and atoms, written as POSCAR:
```
Rb2LaSb2
1.0
8.335 0.000 0.000
0.000 8.335 0.000
0.000 0.000 6.077
Rb La Sb
4 2 4
direct
0.167 0.333 0.000
0.333 0.833 0.000
0.667 0.167 0.000
0.833 0.667 0.000
0.000 0.000 0.500
0.500 0.500 0.500
0.125 0.625 0.500
0.375 0.125 0.500
0.625 0.875 0.500
0.875 0.375 0.500
```